[1]
NaSrCd2O | Alexandria | PBE | optimized geometry; mass density = 3.0 g/cm3; calculated total energy = -2.296 eV/atom; crystal system = tetragonal; formation energy without anion corrections = -0.34 eV/atom; SG = P4/mmm (123)
1.0
6.623 0.000 0.000
0.000 6.623 0.000
0.000 0.000 4.469
Na Sr Cd O
1 1 2 1
Direct
0.000 0.000 0.000
0.500 0.500 0.500
0.000 0.500 0.500
0.500 0.000 0.500
0.500 0.500 0.000


[2]
Cs2Au2Cl | Alexandria | PBE | optimized geometry; mass density = 7.0 g/cm3; calculated total energy = -2.892 eV/atom; crystal system = tetragonal; formation energy without anion corrections = -0.87 eV/atom; SG = I4/mmm (139)
1.0
-2.015 2.015 10.214
2.015 -2.015 10.214
2.015 2.015 -10.214
Cs Au Cl
2 2 1
Direct
0.102 0.102 0.000
0.898 0.898 0.000
0.250 0.750 0.500
0.750 0.250 0.500
0.500 0.500 0.000


[3]
AlIn2Os | Alexandria | PBE | optimized geometry; mass density = 9.6 g/cm3; energy relative to the elements = 446 meV per atom; calculated total energy = -4.667 eV/atom; crystal system = trigonal; SG = R-3m (166)
1.0
1.535 0.886 9.434
-1.535 0.886 9.434
0.000 -1.772 9.434
Al In Os
1 2 1
Direct
0.000 0.000 0.000
0.243 0.243 0.243
0.757 0.757 0.757
0.500 0.500 0.500


[4]
RbInSCl2 | Alexandria | PBE | optimized geometry; mass density = 3.5 g/cm3; calculated total energy = -3.390 eV/atom; crystal system = tetragonal; formation energy without anion corrections = -1.08 eV/atom; SG = P4/mmm (123)
1.0
5.394 0.000 0.000
0.000 5.394 0.000
0.000 0.000 4.923
Rb In S Cl
1 1 1 2
Direct
0.000 0.000 0.000
0.500 0.500 0.500
0.500 0.500 0.000
0.000 0.500 0.500
0.500 0.000 0.500


[5]
MgCd5InAg2 | Alexandria | PBE | optimized geometry; mass density = 7.2 g/cm3; energy relative to the elements = 87 meV per atom; calculated total energy = -1.537 eV/atom; crystal system = tetragonal; SG = I4/mcm (140)
1.0
-4.281 4.281 5.801
4.281 -4.281 5.801
4.281 4.281 -5.801
Mg Cd In Ag
2 10 2 4
Direct
0.250 0.750 0.500
0.750 0.250 0.500
0.000 0.000 0.000
0.073 0.573 0.907
0.165 0.073 0.500
0.335 0.835 0.907
0.427 0.335 0.500
0.500 0.500 0.000
0.573 0.665 0.500
0.665 0.165 0.093
0.835 0.927 0.500
0.927 0.427 0.093
0.250 0.250 0.000
0.750 0.750 0.000
0.108 0.392 0.500
0.392 0.892 0.284
0.608 0.108 0.716
0.892 0.608 0.500


[6]
ThNiH | Alexandria | PBE | optimized geometry; mass density = 10.5 g/cm3; calculated total energy = -5.674 eV/atom; crystal system = hexagonal; SG = P-6m2 (187)
1.0
3.798 0.000 0.000
-1.899 3.290 0.000
0.000 0.000 3.695
Th Ni H
1 1 1
Direct
0.000 0.000 0.000
0.333 0.667 0.500
0.667 0.333 0.500